Material: LaTl2TcO6
Method: DFT, PBE-GGA
State: relaxed

Cell: 6.4332 6.4332 6.0987 Å, 90.00 90.00 120.00°
With the nearest neighbours (Å) after each atom.
Positions (direct):
La (0.0000, 0.0000, 0.0000)  6 O 2.42
Tl (0.3333, 0.6667, 0.4717)  3 O 2.57
Tl (0.6667, 0.3333, 0.5283)  3 O 2.57
Tc (0.0000, 0.0000, 0.5000)  6 O 1.92
O (0.1366, 0.2733, 0.6911)  1 Tc 1.92
O (0.1366, 0.8634, 0.6911)  1 Tc 1.92
O (0.2733, 0.1366, 0.3089)  1 Tc 1.92
O (0.7267, 0.8634, 0.6911)  1 Tc 1.92
O (0.8634, 0.1366, 0.3089)  1 Tc 1.92
O (0.8634, 0.7267, 0.3089)  1 Tc 1.92

Properties
For the energy, the calculation gives -65.36 eV/cell. Its space group is P-3m1, No. 164.